Entry from Alexandria: an optimized crystal structure of Hf2ZrPd (PBE).

abc: 7.7418 7.7418 5.8699
angles: 90.00 90.00 90.00
Closest atoms and distances in Å follow each position.
Space group I-42d (No. 122)
One atom of each set of equivalent atoms:
Hf1 0.2061 0.7500 0.1250 (multiplicity 8)  2 Pd 2.61
Zr1 0.0000 0.0000 0.5000 (multiplicity 4)  2 Pd 2.93, 4 Hf 3.08
Pd1 0.0000 0.0000 0.0000 (multiplicity 4)  4 Hf 2.61

Results
Energy above the lowest structure with this stoichiometry, eV per formula unit: 1.54
Energy of formation from the pure elements, eV/atom: 0.02
DFT total energy, eV/atom: -8.39
Total moment, μB/f.u.: 0.0
Volume, Å³ per atom: 22.0